Record 1
Entry from Alexandria via LeMat-Bulk: a relaxed BaHf3Os crystal (PBE).

Results
DOS(E_F)   7.879 states/eV per cell
Raw total energy   -8.310 eV/atom
Calculated volume   139.4 Å³/f.u.
Crystal system   cubic
Energy relative to the lowest polymorph listed for this composition   0.000 eV/atom
DFT formation energy   0.2925 eV per atom
Magnetization   0.000 μB per formula unit

a b c (Å): 5.1846 5.1846 5.1846
angles (deg): 90.00 90.00 90.00
Element x y z (fractional)
1 Hf 0.0000 0.5000 0.0000
2 Hf 0.0000 0.0000 0.5000
3 Hf 0.5000 0.0000 0.0000
4 Os 0.0000 0.0000 0.0000
5 Ba 0.5000 0.5000 0.5000

***

Record 2
Entry from Alexandria via LeMat-Bulk: a relaxed LaRuPtPb2 crystal (PBE).

Results
DOS(E_F)   5.692 states/eV per cell
Raw total energy   -5.003 eV/atom
Calculated volume   151.7 Å³/f.u.
Crystal system   tetragonal
DFT formation energy   0.5296 eV per atom
Magnetization   1.451 μB per formula unit

a b c (Å): 5.2784 5.4459 5.2784
angles (deg): 90.00 90.00 90.00
Element x y z (fractional)
1 Pb 0.0000 0.0000 0.5000
2 Pb 0.5000 0.0000 0.0000
3 Ru 0.5000 0.5000 0.5000
4 Pt 0.0000 0.0000 0.0000
5 La 0.0000 0.5000 0.0000